Here is Ho3ErTmTh after structural relaxation from Alexandria via LeMat-Bulk. Energies are from GGA-PBE.

POSCAR file:
```
Ho3ErTmTh
1.0
5.3904 0.0000 0.0000
-2.6952 10.5629 2.6219
0.0000 -0.5347 6.6606
Ho Er Tm Th
6 2 2 2
Direct
0.8353 0.6706 0.2604
0.1647 0.3294 0.7396
0.5269 0.0538 0.7275
0.4731 0.9462 0.2725
0.2242 0.4485 0.1933
0.7758 0.5515 0.8067
0.3682 0.7364 0.9574
0.6318 0.2636 0.0426
0.3302 0.6604 0.5223
0.6698 0.3396 0.4777
0.0675 0.1350 0.3267
0.9325 0.8650 0.6733
```

Calculated values
VASP energy: -0.178 hartree per atom
V: 32.2 A^3/atom
Space-group type: C2/m (12)
Energy of formation from the pure elements: 112 kJ/mol of formula units
Crystal system: monoclinic